First-principles (PBE) data for a relaxed SmPaS2 crystal, as listed in Alexandria via LeMat-Bulk.

It has space group P4/mmm (No. 123), with a = 4.852 Å, b = 4.852 Å, c = 3.435 Å, α = 90.00°, β = 90.00° and γ = 90.00°. The distinct sites, in fractional coordinates, are Sm at (0.000, 0.000, 0.000), Pa at (0.500, 0.500, 0.000) and S at (0.000, 0.500, 0.500).

The value obtained for the uncorrected formation energy is -134.5 kJ per mole of atoms. As for the density of states at the Fermi level: 5.54 states/eV/f.u. The value obtained for the total energy is -7.01 eV per atom.



First-principles (PBE) data for a relaxed Sm2PaS4 crystal, as listed in Alexandria via LeMat-Bulk.

It has space group Cmcm (No. 63), with a = 3.863 Å, b = 13.311 Å, c = 13.037 Å, α = 90.00°, β = 90.00° and γ = 90.00°. The distinct sites, in fractional coordinates, are Sm at (0.000, 0.135, 0.069), Pa at (0.000, 0.375, 0.250), S at (0.000, 0.023, 0.250), S at (0.000, 0.224, 0.629) and S at (0.000, 0.500, 0.000).

The value obtained for the uncorrected formation energy is -175.7 kJ per mole of atoms. As for the density of states at the Fermi level: 6.63 states/eV/f.u. The value obtained for the total energy is -6.88 eV per atom.



First-principles (PBE) data for a relaxed Sm6PaS12 crystal, as listed in Alexandria via LeMat-Bulk.

It has space group R-3 (No. 148, hexagonal axes), with a = 12.1962 Å, b = 12.1962 Å, c = 11.4899 Å, α = 90.00°, β = 90.00° and γ = 120.00°. The distinct sites, in fractional coordinates, are Sm at (0.0508, 0.7804, 0.1413), Pa at (0.0000, 0.0000, 0.5000), S at (0.0361, 0.8171, 0.8970) and S at (0.0491, 0.8444, 0.3828).

The value obtained for the uncorrected formation energy is -180.9 kJ per mole of atoms. As for the density of states at the Fermi level: 13.54 states/eV/f.u. The value obtained for the total energy is -6.47 eV per atom.